Entry 1:
A plane-wave DFT calculation with PBE was carried out for a relaxed structure of Y2Er3In3.

The structure in extended XYZ format:
```
16
Lattice="3.762 0.000 0.000 0.000 5.306 0.000 0.000 0.000 22.134" Properties=species:S:1:pos:R:3 pbc="T T T"
Y 0.000 0.000 5.192
Y 0.000 0.000 16.942
Y 1.881 2.653 5.875
Y 1.881 2.653 16.259
Er 0.000 0.000 0.000
Er 0.000 2.653 2.740
Er 0.000 2.653 19.394
Er 1.881 0.000 8.327
Er 1.881 0.000 13.807
Er 1.881 2.653 11.067
In 0.000 0.000 11.067
In 0.000 2.653 8.447
In 0.000 2.653 13.687
In 1.881 0.000 2.620
In 1.881 0.000 19.514
In 1.881 2.653 0.000
```

Results
* total moment: 0.000 μB per atom
* energy: -4.71 eV per atom
* calculated formation energy: -0.353 eV/atom

=====

Entry 2:
A plane-wave DFT calculation with PBE was carried out for a relaxed structure of Li2ZnTc.

The structure in extended XYZ format:
```
8
Lattice="3.637 0.000 0.000 0.000 3.637 0.000 0.000 0.000 8.713" Properties=species:S:1:pos:R:3 pbc="T T T"
Li 0.000 1.818 2.178
Li 0.000 1.818 6.535
Li 1.818 0.000 2.178
Li 1.818 0.000 6.535
Zn 0.000 0.000 0.000
Zn 1.818 1.818 4.357
Tc 0.000 0.000 4.357
Tc 1.818 1.818 0.000
```

Results
* total moment: 0.224 μB per atom
* energy: -3.59 eV per atom
* calculated formation energy: 0.275 eV/atom

=====

Entry 3:
A plane-wave DFT calculation with PBE was carried out for a relaxed structure of CeMg2Tl.

The structure in extended XYZ format:
```
16
Lattice="7.365 0.000 0.000 0.000 7.365 0.000 0.000 0.000 7.365" Properties=species:S:1:pos:R:3 pbc="T T T"
Ce 0.000 0.000 0.000
Ce 0.000 3.683 3.683
Ce 3.683 0.000 3.683
Ce 3.683 3.683 0.000
Mg 1.841 1.841 1.841
Mg 1.841 1.841 5.524
Mg 1.841 5.524 1.841
Mg 1.841 5.524 5.524
Mg 5.524 1.841 1.841
Mg 5.524 1.841 5.524
Mg 5.524 5.524 1.841
Mg 5.524 5.524 5.524
Tl 0.000 0.000 3.683
Tl 0.000 3.683 0.000
Tl 3.683 0.000 0.000
Tl 3.683 3.683 3.683
```

Results
* ΔE to the lowest computed polymorph: 109 meV/atom
* total moment: 0.285 μB per atom
* energy: -2.89 eV per atom
* calculated formation energy: -0.013 eV/atom